[1]
{
  "formula": "UBP3",
  "functional": "PBE",
  "state": "optimized geometry",
  "final_energy_ev_per_cell": -70.1,
  "magmom_total_mub_per_cell": 0.0,
  "delta_e_f_ev_per_atom": -0.170,
  "lattice": [[-3.7744, 3.3882, 2.9305], [3.7744, -3.3882, 2.9305], [3.7744, 3.3882, -2.9305]],
  "species": ["U", "U", "B", "B", "P", "P", "P", "P", "P", "P"],
  "frac_coords": [[0.0556, 0.2500, 0.3056], [0.9444, 0.7500, 0.6944], [0.1500, 0.5894, 0.0606], [0.5288, 0.0894, 0.9394], [0.4854, 0.2714, 0.7140], [0.4957, 0.1821, 0.2439], [0.4957, 0.7517, 0.8136], [0.5574, 0.7714, 0.2860], [0.9381, 0.2517, 0.7561], [0.9381, 0.6821, 0.1864]]
}

***

[2]
{
  "formula": "VB2P2",
  "functional": "PBE",
  "state": "optimized geometry",
  "final_energy_ev_per_cell": -65.4,
  "magmom_total_mub_per_cell": 0.9,
  "polymorph_energy_mev_per_atom": 0,
  "delta_e_f_ev_per_atom": 0.121,
  "lattice": [[6.1437, 0.0000, 0.0000], [0.0000, 6.1437, 0.0000], [0.0000, 0.0000, 3.0623]],
  "species": ["V", "V", "B", "B", "B", "B", "P", "P", "P", "P"],
  "frac_coords": [[0.0000, 0.0000, 0.0000], [0.5000, 0.5000, 0.0000], [0.0948, 0.4052, 0.0000], [0.4052, 0.9052, 0.0000], [0.5948, 0.0948, 0.0000], [0.9052, 0.5948, 0.0000], [0.2199, 0.2801, 0.5000], [0.2801, 0.7801, 0.5000], [0.7199, 0.2199, 0.5000], [0.7801, 0.7199, 0.5000]]
}

***

[3]
{
  "formula": "VBP",
  "functional": "PBE",
  "state": "optimized geometry",
  "final_energy_ev_per_cell": -44.4,
  "magmom_total_mub_per_cell": 0.0,
  "polymorph_energy_mev_per_atom": 114,
  "delta_e_f_ev_per_atom": -0.325,
  "lattice": [[-1.6031, 1.6053, 6.9739], [1.6031, -1.6053, 6.9739], [1.6031, 1.6053, -6.9739]],
  "species": ["V", "V", "B", "B", "P", "P"],
  "frac_coords": [[0.1919, 0.1919, 0.0000], [0.8081, 0.8081, 0.0000], [0.0596, 0.5596, 0.5000], [0.9404, 0.4404, 0.5000], [0.3689, 0.3689, 0.0000], [0.6311, 0.6311, 0.0000]]
}

***

[4]
{
  "formula": "VBP",
  "functional": "PBE",
  "state": "optimized geometry",
  "final_energy_ev_per_cell": -44.9,
  "magmom_total_mub_per_cell": 0.6,
  "polymorph_energy_mev_per_atom": 32,
  "delta_e_f_ev_per_atom": -0.407,
  "lattice": [[3.9165, -1.5387, 0.0000], [3.9165, 1.5387, 0.0000], [-2.1448, 0.0000, 5.5220]],
  "species": ["V", "V", "B", "B", "P", "P"],
  "frac_coords": [[0.0000, 0.0000, 0.0000], [0.0000, 0.0000, 0.5000], [0.2551, 0.2551, 0.9301], [0.7449, 0.7449, 0.0699], [0.3478, 0.3478, 0.6694], [0.6522, 0.6522, 0.3306]]
}

***

[5]
{
  "formula": "VBP",
  "functional": "PBE",
  "state": "optimized geometry",
  "final_energy_ev_per_cell": -44.2,
  "magmom_total_mub_per_cell": 0.0,
  "polymorph_energy_mev_per_atom": 134,
  "delta_e_f_ev_per_atom": -0.305,
  "lattice": [[3.9228, -1.4978, 0.0000], [3.9228, 1.4978, 0.0000], [-3.5700, 0.0000, 5.3735]],
  "species": ["V", "V", "B", "B", "P", "P"],
  "frac_coords": [[0.0000, 0.0000, 0.0000], [0.6088, 0.6088, 0.4507], [0.3102, 0.3102, 0.0496], [0.6794, 0.6794, 0.8871], [0.3912, 0.3912, 0.6452], [0.8192, 0.8192, 0.2980]]
}

***

[6]
{
  "formula": "VBP",
  "functional": "PBE",
  "state": "optimized geometry",
  "final_energy_ev_per_cell": -44.5,
  "magmom_total_mub_per_cell": 0.0,
  "polymorph_energy_mev_per_atom": 84,
  "delta_e_f_ev_per_atom": -0.354,
  "lattice": [[4.2902, -1.5209, 0.0000], [4.2902, 1.5209, 0.0000], [-2.8224, 0.0000, 5.2263]],
  "species": ["V", "V", "B", "B", "P", "P"],
  "frac_coords": [[0.0000, 0.0000, 0.0000], [0.1855, 0.1855, 0.6588], [0.5537, 0.5537, 0.3323], [0.9378, 0.9378, 0.3108], [0.7103, 0.7103, 0.9881], [0.8447, 0.8447, 0.5489]]
}

***

[7]
{
  "formula": "VBP",
  "functional": "PBE",
  "state": "optimized geometry",
  "final_energy_ev_per_cell": -44.6,
  "magmom_total_mub_per_cell": 0.0,
  "polymorph_energy_mev_per_atom": 77,
  "delta_e_f_ev_per_atom": -0.362,
  "lattice": [[4.1478, -1.5237, 0.0000], [4.1478, 1.5237, 0.0000], [-2.3809, 0.0000, 5.5313]],
  "species": ["V", "V", "B", "B", "P", "P"],
  "frac_coords": [[0.0000, 0.0000, 0.0000], [0.6239, 0.6239, 0.6803], [0.0507, 0.0507, 0.3886], [0.6177, 0.6177, 0.3160], [0.2824, 0.2824, 0.0013], [0.8834, 0.8834, 0.5617]]
}

***

[8]
{
  "formula": "V4BP2",
  "functional": "PBE",
  "state": "optimized geometry",
  "final_energy_ev_per_cell": -56.0,
  "magmom_total_mub_per_cell": 2.7,
  "delta_e_f_ev_per_atom": -0.284,
  "lattice": [[-1.9330, 1.9330, 6.1635], [1.9330, -1.9330, 6.1635], [1.9330, 1.9330, -6.1635]],
  "species": ["V", "V", "V", "V", "B", "P", "P"],
  "frac_coords": [[0.0000, 0.5000, 0.5000], [0.1723, 0.1723, 0.0000], [0.5000, 0.0000, 0.5000], [0.8277, 0.8277, 0.0000], [0.0000, 0.0000, 0.0000], [0.3637, 0.3637, 0.0000], [0.6363, 0.6363, 0.0000]]
}

***

[9]
{
  "formula": "VB2P",
  "functional": "PBE",
  "state": "optimized geometry",
  "final_energy_ev_per_cell": -52.8,
  "magmom_total_mub_per_cell": 0.0,
  "delta_e_f_ev_per_atom": 0.369,
  "lattice": [[-2.7641, 2.7641, 2.6904], [2.7641, -2.7641, 2.6904], [2.7641, 2.7641, -2.6904]],
  "species": ["V", "V", "B", "B", "B", "B", "P", "P"],
  "frac_coords": [[0.0000, 0.0000, 0.0000], [0.7500, 0.2500, 0.5000], [0.1738, 0.1250, 0.5488], [0.3750, 0.8262, 0.9512], [0.5762, 0.6250, 0.4512], [0.8750, 0.4238, 0.0488], [0.2500, 0.7500, 0.5000], [0.5000, 0.5000, 0.0000]]
}

***

[10]
{
  "formula": "VB2P2",
  "functional": "PBE",
  "state": "optimized geometry",
  "final_energy_ev_per_cell": -29.8,
  "magmom_total_mub_per_cell": 0.0,
  "polymorph_energy_mev_per_atom": 575,
  "delta_e_f_ev_per_atom": 0.697,
  "lattice": [[-1.7267, 1.7267, 4.3290], [1.7267, -1.7267, 4.3290], [1.7267, 1.7267, -4.3290]],
  "species": ["V", "B", "B", "P", "P"],
  "frac_coords": [[0.0000, 0.0000, 0.0000], [0.4069, 0.4069, 0.0000], [0.5931, 0.5931, 0.0000], [0.2500, 0.7500, 0.5000], [0.7500, 0.2500, 0.5000]]
}

***

[11]
{
  "formula": "V3BP",
  "functional": "PBE",
  "state": "optimized geometry",
  "final_energy_ev_per_cell": -81.4,
  "magmom_total_mub_per_cell": 1.1,
  "polymorph_energy_mev_per_atom": 0,
  "delta_e_f_ev_per_atom": -0.253,
  "lattice": [[3.0593, -4.5582, 0.0000], [3.0593, 4.5582, 0.0000], [0.0000, 0.0000, 4.2693]],
  "species": ["V", "V", "V", "V", "V", "V", "B", "B", "P", "P"],
  "frac_coords": [[0.1556, 0.3522, 0.7500], [0.1929, 0.8071, 0.7500], [0.3522, 0.1556, 0.2500], [0.6478, 0.8444, 0.7500], [0.8071, 0.1929, 0.2500], [0.8444, 0.6478, 0.2500], [0.0000, 0.0000, 0.0000], [0.0000, 0.0000, 0.5000], [0.3574, 0.6426, 0.2500], [0.6426, 0.3574, 0.7500]]
}

***

[12]
{
  "formula": "VBP",
  "functional": "PBE",
  "state": "optimized geometry",
  "final_energy_ev_per_cell": -44.9,
  "magmom_total_mub_per_cell": 0.0,
  "polymorph_energy_mev_per_atom": 21,
  "delta_e_f_ev_per_atom": -0.417,
  "lattice": [[5.5279, -1.5128, 0.0000], [5.5279, 1.5128, 0.0000], [-0.5645, 0.0000, 4.1645]],
  "species": ["V", "V", "B", "B", "P", "P"],
  "frac_coords": [[0.0801, 0.0801, 0.2882], [0.9199, 0.9199, 0.7118], [0.2816, 0.2816, 0.4659], [0.7184, 0.7184, 0.5341], [0.4084, 0.4084, 0.1872], [0.5916, 0.5916, 0.8128]]
}

***

[13]
{
  "formula": "VBP",
  "functional": "PBE",
  "state": "optimized geometry",
  "final_energy_ev_per_cell": -44.1,
  "magmom_total_mub_per_cell": 0.0,
  "polymorph_energy_mev_per_atom": 159,
  "delta_e_f_ev_per_atom": -0.279,
  "lattice": [[3.1642, 0.0000, 0.0000], [0.0000, 3.1601, 0.0000], [-0.6035, 0.0000, 6.9148]],
  "species": ["V", "V", "B", "B", "P", "P"],
  "frac_coords": [[0.0000, 0.0000, 0.0000], [0.4144, 0.0000, 0.6190], [0.0256, 0.0000, 0.3153], [0.5107, 0.0000, 0.2260], [0.4752, 0.5000, 0.8826], [0.9046, 0.5000, 0.4917]]
}

***

[14]
{
  "formula": "VBP2",
  "functional": "PBE",
  "state": "optimized geometry",
  "final_energy_ev_per_cell": -53.4,
  "magmom_total_mub_per_cell": 4.0,
  "delta_e_f_ev_per_atom": -0.024,
  "lattice": [[-2.6954, 2.6954, 4.1225], [2.6954, -2.6954, 4.1225], [2.6954, 2.6954, -4.1225]],
  "species": ["V", "V", "B", "B", "P", "P", "P", "P"],
  "frac_coords": [[0.0000, 0.0000, 0.0000], [0.7500, 0.2500, 0.5000], [0.2500, 0.7500, 0.5000], [0.5000, 0.5000, 0.0000], [0.1898, 0.6250, 0.0648], [0.3750, 0.4398, 0.5648], [0.5602, 0.1250, 0.9352], [0.8750, 0.8102, 0.4352]]
}

***

[15]
{
  "formula": "VBP",
  "functional": "PBE",
  "state": "optimized geometry",
  "final_energy_ev_per_cell": -45.0,
  "magmom_total_mub_per_cell": 0.0,
  "polymorph_energy_mev_per_atom": 0,
  "delta_e_f_ev_per_atom": -0.439,
  "lattice": [[4.2802, -1.5280, 0.0000], [4.2802, 1.5280, 0.0000], [-2.5817, 0.0000, 5.4025]],
  "species": ["V", "V", "B", "B", "P", "P"],
  "frac_coords": [[0.1749, 0.1749, 0.1406], [0.8251, 0.8251, 0.8594], [0.2947, 0.2947, 0.5608], [0.7053, 0.7053, 0.4392], [0.4645, 0.4645, 0.2041], [0.5355, 0.5355, 0.7959]]
}

***

[16]
{
  "formula": "VBP",
  "functional": "PBE",
  "state": "optimized geometry",
  "final_energy_ev_per_cell": -44.8,
  "magmom_total_mub_per_cell": 0.0,
  "polymorph_energy_mev_per_atom": 47,
  "delta_e_f_ev_per_atom": -0.391,
  "lattice": [[3.9228, -1.5405, 0.0000], [3.9228, 1.5405, 0.0000], [-3.0272, 0.0000, 6.2608]],
  "species": ["V", "V", "B", "B", "P", "P"],
  "frac_coords": [[0.0977, 0.0977, 0.3748], [0.9023, 0.9023, 0.6252], [0.3915, 0.3915, 0.3890], [0.6085, 0.6085, 0.6110], [0.2519, 0.2519, 0.7910], [0.7481, 0.7481, 0.2090]]
}

***

[17]
{
  "formula": "VBP",
  "functional": "PBE",
  "state": "optimized geometry",
  "final_energy_ev_per_cell": -44.4,
  "magmom_total_mub_per_cell": 0.0,
  "polymorph_energy_mev_per_atom": 99,
  "delta_e_f_ev_per_atom": -0.339,
  "lattice": [[4.0043, -1.5666, 0.0000], [4.0043, 1.5666, 0.0000], [-2.3275, 0.0000, 5.6367]],
  "species": ["V", "V", "B", "B", "P", "P"],
  "frac_coords": [[0.1968, 0.1968, 0.1737], [0.8032, 0.8032, 0.8263], [0.2117, 0.2117, 0.5362], [0.7883, 0.7883, 0.4638], [0.0748, 0.0748, 0.7579], [0.9252, 0.9252, 0.2421]]
}

***

[18]
{
  "formula": "V8B2P",
  "functional": "PBE",
  "state": "optimized geometry",
  "final_energy_ev_per_cell": -94.9,
  "magmom_total_mub_per_cell": 0.0,
  "delta_e_f_ev_per_atom": -0.292,
  "lattice": [[3.2645, -4.8641, 0.0000], [3.2645, 4.8641, 0.0000], [-1.1656, 0.0000, 4.1609]],
  "species": ["V", "V", "V", "V", "V", "V", "V", "V", "B", "B", "P"],
  "frac_coords": [[0.0791, 0.3285, 0.5979], [0.2443, 0.7557, 0.0000], [0.3285, 0.0791, 0.5979], [0.3860, 0.3860, 0.1887], [0.6140, 0.6140, 0.8113], [0.6715, 0.9209, 0.4021], [0.7557, 0.2443, 0.0000], [0.9209, 0.6715, 0.4021], [0.3137, 0.6863, 0.5000], [0.6863, 0.3137, 0.5000], [0.0000, 0.0000, 0.0000]]
}

***

[19]
{
  "formula": "V5B2P",
  "functional": "PBE",
  "state": "optimized geometry",
  "final_energy_ev_per_cell": -142.3,
  "magmom_total_mub_per_cell": 0.0,
  "delta_e_f_ev_per_atom": -0.849,
  "lattice": [[-2.8645, 2.8645, 5.2992], [2.8645, -2.8645, 5.2992], [2.8645, 2.8645, -5.2992]],
  "species": ["V", "V", "V", "V", "V", "V", "V", "V", "V", "V", "B", "B", "B", "B", "P", "P"],
  "frac_coords": [[0.0000, 0.0000, 0.0000], [0.0294, 0.5294, 0.8387], [0.1907, 0.0294, 0.5000], [0.3093, 0.8093, 0.8387], [0.4706, 0.3093, 0.5000], [0.5000, 0.5000, 0.0000], [0.5294, 0.6907, 0.5000], [0.6907, 0.1907, 0.1613], [0.8093, 0.9706, 0.5000], [0.9706, 0.4706, 0.1613], [0.1149, 0.3851, 0.5000], [0.3851, 0.8851, 0.2702], [0.6149, 0.1149, 0.7298], [0.8851, 0.6149, 0.5000], [0.2500, 0.2500, 0.0000], [0.7500, 0.7500, 0.0000]]
}

***

[20]
{
  "formula": "V6B2P",
  "functional": "PBE",
  "state": "optimized geometry",
  "final_energy_ev_per_cell": -157.0,
  "magmom_total_mub_per_cell": 0.0,
  "delta_e_f_ev_per_atom": -0.556,
  "lattice": [[-3.3929, 3.6832, 4.0561], [3.3929, -3.6832, 4.0561], [3.3929, 3.6832, -4.0561]],
  "species": ["V", "V", "V", "V", "V", "V", "V", "V", "V", "V", "V", "V", "B", "B", "B", "B", "P", "P"],
  "frac_coords": [[0.0250, 0.2466, 0.7784], [0.1974, 0.2848, 0.4822], [0.1974, 0.7152, 0.9126], [0.3196, 0.0260, 0.7063], [0.3196, 0.6133, 0.2937], [0.4682, 0.2466, 0.2216], [0.5318, 0.7534, 0.7784], [0.6804, 0.3867, 0.7063], [0.6804, 0.9740, 0.2937], [0.8026, 0.2848, 0.0874], [0.8026, 0.7152, 0.5178], [0.9750, 0.7534, 0.2216], [0.1103, 0.6103, 0.5000], [0.3781, 0.0000, 0.3781], [0.6219, 0.0000, 0.6219], [0.8897, 0.3897, 0.5000], [0.0000, 0.0000, 0.0000], [0.5000, 0.5000, 0.0000]]
}